VASP calculation (GGA-PBE) on CsSrTl2Pd after structural relaxation.

Summary:
Formation energy from the elements = -0.16 eV per atom
Fermi-level density of states = 3.789 states/eV/cell
Space group = P4/mmm
Total magnetization = 0.0 μB per cell
Density = 6.769 Mg/m³
Volume = 180 Å³/cell
Calculated total energy = -13.3 eV per formula unit

```
CsSrTl2Pd
1.0
5.618 0.000 0.000
0.000 5.618 0.000
0.000 0.000 5.718
Cs Sr Tl Pd
1 1 2 1
Cartesian
0.000 0.000 0.000
2.809 2.809 0.000
0.000 2.809 2.859
2.809 0.000 2.859
2.809 2.809 2.859
```